Er12Ni6Pb | the Open Quantum Materials Database | PBE-GGA | optimized geometry; symmetry = No. 204; calculated volume = 444.7 Å³ per cell; total DFT energy (no corrections) = -5.238 eV per atom
1.0
1.319 -5.284 -6.301
6.334 -0.468 5.388
-7.093 -2.012 3.872
Er Ni Pb
12 6 1
Direct
0.812 0.304 0.116
0.304 0.492 0.188
0.696 0.884 0.188
0.116 0.812 0.304
0.492 0.188 0.304
0.188 0.304 0.492
0.812 0.696 0.508
0.884 0.188 0.696
0.508 0.812 0.696
0.304 0.116 0.812
0.696 0.508 0.812
0.188 0.696 0.884
0.624 0.500 0.124
0.500 0.876 0.376
0.876 0.376 0.500
0.124 0.624 0.500
0.500 0.124 0.624
0.376 0.500 0.876
0.000 0.000 0.000